Density functional theory data (GGA-PBE) for a relaxed Nd2CO crystal.

a b c (Å): 6.3871 6.4118 8.2341
angles (deg): 104.90 104.78 109.92
Sites, in units of the cell vectors:
Nd: 0.4359 0.6896 0.8752
Nd: 0.6905 0.9371 0.3748
Nd: 0.3095 0.0629 0.6252
Nd: 0.0607 0.8143 0.1248
Nd: 0.5641 0.3104 0.1248
Nd: 0.9393 0.1857 0.8752
Nd: 0.8157 0.5623 0.6252
Nd: 0.1843 0.4377 0.3748
C: 0.9378 0.6878 0.3756
C: 0.8131 0.0631 0.1263
C: 0.1869 0.9369 0.8737
C: 0.0622 0.3122 0.6244
O: 0.5646 0.8146 0.6292
O: 0.6896 0.4396 0.8793
O: 0.4354 0.1854 0.3708
O: 0.3104 0.5604 0.1207

Output
* symmetry: C2/c, No. 15
* raw formation energy: -5.9 eV per formula unit
* magnetization: 0.0 μB per formula unit
* uncorrected energy: -0.5437 Ry/atom
* energy above the most stable polymorph in this dataset: 0.000 eV/atom